[1]
Computed, not measured: a crystal of MnMo2Au relaxed with PBEsol at the meta-GGA SCAN level of DFT.

energy of formation from the pure elements: 0.062 eV per atom
total magnetic moment: 3.153 μB per formula unit
offset from the most stable computed form: 66 meV/atom
raw total energy: -39.23 eV per atom

Lattice parameters (Å, degrees): 2.679 2.679 8.602 90.00 90.00 105.79
Each line ends with the local moment (μB).
Positions (direct):
Mn: 0.500 0.500 0.240  3.41
Au: 0.000 0.000 0.489  0.05
Mo: 0.500 0.500 0.759  0.01
Mo: 0.000 0.000 0.013  -0.38

=====

[2]
Computed, not measured: a crystal of Rb2LiSbBr6 relaxed with PBEsol at the meta-GGA SCAN level of DFT.

ΔE_f (raw): -1381 meV per atom
total magnetic moment: 0.000 μB per formula unit
raw total energy: -21.17 eV per atom

Lattice parameters (Å, degrees): 7.692 7.692 7.692 60.00 60.00 60.00
Positions (direct):
Br: 0.255 0.745 0.255
Li: 0.500 0.500 0.500
Br: 0.255 0.745 0.745
Br: 0.745 0.255 0.255
Rb: 0.250 0.250 0.250
Br: 0.745 0.745 0.255
Br: 0.745 0.255 0.745
Sb: 0.000 0.000 0.000
Rb: 0.750 0.750 0.750
Br: 0.255 0.255 0.745

=====

[3]
Computed, not measured: a crystal of Mn2BeFeF relaxed with PBEsol at the meta-GGA SCAN level of DFT.

ΔE_f (raw): -227 meV per atom
total magnetic moment: 10.230 μB per formula unit
raw total energy: -12.73 eV per atom

Lattice parameters (Å, degrees): 3.096 4.329 4.329 90.00 90.00 90.00
Each line ends with the local moment (μB).
Positions (direct):
F: 0.000 0.000 0.000  0.04
Be: 0.500 0.000 0.000  -0.13
Fe: 0.500 0.500 0.500  2.91
Mn: 0.000 0.500 0.000  3.80
Mn: 0.000 0.000 0.500  3.80

=====

[4]
Computed, not measured: a crystal of NiOs2Br relaxed with PBEsol at the meta-GGA SCAN level of DFT.

ΔE_f (raw): 1166 meV per atom
total magnetic moment: 0.000 μB per formula unit
offset from the most stable computed form: 493 meV/atom
raw total energy: -43.68 eV per atom

Lattice parameters (Å, degrees): 2.860 3.778 6.070 108.13 103.62 90.00
Positions (direct):
Br: 0.500 0.000 0.000
Os: 0.205 0.205 0.410
Os: 0.795 0.795 0.590
Ni: 0.000 0.500 0.000

=====

[5]
Computed, not measured: a crystal of InP2Cl relaxed with PBEsol at the meta-GGA SCAN level of DFT.

ΔE_f (raw): -290 meV per atom
total magnetic moment: 0.000 μB per formula unit
offset from the most stable computed form: 0 meV/atom
raw total energy: -15.83 eV per atom

Lattice parameters (Å, degrees): 3.355 3.355 9.962 80.31 80.31 60.00
Positions (direct):
In: 0.239 0.239 0.282
P: 0.022 0.022 0.933
Cl: 0.508 0.508 0.476
P: 0.730 0.730 0.809

=====

[6]
Computed, not measured: a crystal of YAl3Ni relaxed with PBEsol at the meta-GGA SCAN level of DFT.

energy of formation from the pure elements: -0.670 eV per atom
total magnetic moment: 0.031 μB per formula unit
offset from the most stable computed form: 0 meV/atom
raw total energy: -14.12 eV per atom

Lattice parameters (Å, degrees): 4.014 8.078 10.549 90.00 90.00 90.00
Positions (direct):
Al: 0.750 0.643 0.278
Al: 0.250 0.885 0.213
Y: 0.250 0.686 0.491
Ni: 0.750 0.894 0.643
Y: 0.750 0.814 0.991
Y: 0.250 0.186 0.009
Al: 0.750 0.445 0.083
Al: 0.250 0.555 0.917
Al: 0.750 0.945 0.417
Al: 0.750 0.615 0.713
Al: 0.750 0.115 0.787
Al: 0.250 0.357 0.722
Ni: 0.250 0.106 0.357
Al: 0.250 0.857 0.778
Al: 0.750 0.143 0.222
Y: 0.750 0.314 0.509
Al: 0.250 0.055 0.583
Ni: 0.750 0.394 0.857
Al: 0.250 0.385 0.287
Ni: 0.250 0.606 0.143

=====

Which of these has the highest raw total energy?
Mn2BeFeF